Record 1
{"formula": "Pt2Au", "functional": "PBE-GGA", "state": "relaxed", "magnetic_moment_mub_per_cell": 0.002, "dft_energy_ev_per_atom": -4.66, "delta_e_f_kj_per_mol_atoms": 44.8, "cell": [[-3.143, 3.143, 2.696], [3.143, -3.143, 2.696], [3.143, 3.143, -2.696]], "species": ["Pt", "Pt", "Pt", "Pt", "Au", "Au"], "fractional_positions": [[0.145, 0.645, 0.790], [0.355, 0.145, 0.500], [0.645, 0.855, 0.500], [0.855, 0.355, 0.210], [0.250, 0.250, 0.000], [0.750, 0.750, 0.000]]}



Record 2
{"formula": "InAg2SbPd", "functional": "PBE-GGA", "state": "relaxed", "magnetic_moment_mub_per_cell": 0.000, "raw_formation_energy_ev_per_atom": 0.589, "dft_energy_ev_per_atom": -2.96, "cell": [[5.100, 0.000, 0.000], [0.000, 5.100, 0.000], [0.000, 0.000, 5.004]], "species": ["In", "Ag", "Ag", "Sb", "Pd"], "fractional_positions": [[0.000, 0.000, 0.000], [0.000, 0.500, 0.000], [0.500, 0.000, 0.000], [0.500, 0.500, 0.500], [0.000, 0.000, 0.500]]}



Record 3
{"formula": "SrSc3Pt", "functional": "PBE-GGA", "state": "relaxed", "magnetic_moment_mub_per_cell": 0.000, "dft_energy_ev_per_atom": -4.01, "delta_e_f_kj_per_mol_atoms": 128.3, "cell": [[4.897, 0.000, 0.000], [0.000, 4.897, 0.000], [0.000, 0.000, 4.897]], "species": ["Sr", "Sc", "Sc", "Sc", "Pt"], "fractional_positions": [[0.000, 0.000, 0.000], [0.000, 0.000, 0.500], [0.000, 0.500, 0.000], [0.500, 0.000, 0.000], [0.500, 0.500, 0.500]]}